Here is an optimized crystal structure of Rb2Na21Tl6 from the Alexandria database. Energies are from PBE.

Properties
DOS(E_F) (states/eV/cell): 19.83
Calculated formation energy (eV/atom): -0.029
Crystal system: cubic
M_tot (μB/cell): 0.0
SG: Fm-3m (225)

Lattice parameters (Å, degrees): 11.562 11.562 11.562 60.00 60.00 60.00
Fractional positions:
Rb: 0.750 0.750 0.750
Rb: 0.250 0.250 0.250
Na: 0.342 0.658 0.000
Na: 0.000 0.342 0.000
Na: 0.390 0.390 0.831
Na: 0.342 0.000 0.658
Na: 0.658 0.000 0.000
Na: 0.658 0.342 0.000
Na: 0.390 0.390 0.390
Na: 0.831 0.390 0.390
Na: 0.000 0.000 0.342
Na: 0.000 0.000 0.658
Na: 0.000 0.000 0.000
Na: 0.169 0.610 0.610
Na: 0.000 0.658 0.342
Na: 0.000 0.658 0.000
Na: 0.658 0.000 0.342
Na: 0.610 0.610 0.610
Na: 0.342 0.000 0.000
Na: 0.610 0.610 0.169
Na: 0.000 0.342 0.658
Na: 0.610 0.169 0.610
Na: 0.390 0.831 0.390
Tl: 0.738 0.262 0.262
Tl: 0.262 0.738 0.262
Tl: 0.738 0.738 0.262
Tl: 0.262 0.262 0.738
Tl: 0.738 0.262 0.738
Tl: 0.262 0.738 0.738